Version i
VASP calculation (PBE) on crystalline Sm8Tm2Tl at its relaxed geometry.

Values from the calculation:
* theoretical density: 8.08 g/cm3
* N(E_F): 32.1 states/eV/cell

a = 17.499 Å, b = 5.431 Å, c = 8.341 Å
α = 90.00°, β = 115.24°, γ = 90.00°
Space group C2/m (No. 12)
Asymmetric unit:
Sm (0.019, 0.000, 0.232) x4
Sm (0.109, 0.500, 0.933) x4
Sm (0.164, 0.000, 0.708) x4
Sm (0.169, 0.500, 0.406) x4
Tm (0.199, 0.000, 0.150) x4
Tl (0.000, 0.500, 0.500) x2

---

Version ii
VASP calculation (PBE) on crystalline Sm8Tm2Tl at its relaxed geometry.

Values from the calculation:
* theoretical density: 7.92 g/cm3
* N(E_F): 18.3 states/eV/cell

a = 5.408 Å, b = 8.341 Å, c = 8.341 Å
α = 103.39°, β = 90.04°, γ = 90.04°
Space group P-1 (No. 2)
Asymmetric unit:
Sm (0.000, 0.165, 0.165) x2
Sm (0.000, 0.247, 0.751) x2
Sm (0.499, 0.199, 0.472) x2
Sm (0.499, 0.473, 0.199) x2
Tm (0.500, 0.121, 0.879) x2
Tl (0.000, 0.500, 0.500) x1

---

Name the least stable of them. version ii.

---

Version i
VASP calculation (PBE) on crystalline Sm2Tm2Tl at its relaxed geometry.

Values from the calculation:
* theoretical density: 9.04 g/cm3
* N(E_F): 14.2 states/eV/cell

a = 5.4320 Å, b = 5.4320 Å, c = 12.1144 Å
α = 90.00°, β = 90.00°, γ = 120.00°
Space group P6_3/mmc (No. 194)
Asymmetric unit:
Sm (0.3333, 0.6667, 0.0860) x4
Tm (0.0000, 0.0000, 0.0000) x2
Tm (0.3333, 0.6667, 0.7500) x2
Tl (0.0000, 0.0000, 0.2500) x2

---

Version ii
VASP calculation (PBE) on crystalline Sm2Tm2Tl at its relaxed geometry.

Values from the calculation:
* theoretical density: 9.14 g/cm3
* N(E_F): 22.8 states/eV/cell

a = 8.479 Å, b = 9.459 Å, c = 8.533 Å
α = 90.00°, β = 116.51°, γ = 90.00°
Space group C2/m (No. 12)
Asymmetric unit:
Sm (0.078, 0.186, 0.213) x8
Tm (0.157, 0.500, 0.936) x4
Tm (0.223, 0.000, 0.613) x4
Tl (0.000, 0.330, 0.500) x4

---

Name the least stable of them. version i.

---

Version i
VASP calculation (PBE) on crystalline SmTm3Tl4 at its relaxed geometry.

Values from the calculation:
* theoretical density: 10.58 g/cm3
* N(E_F): 12.7 states/eV/cell

a = 3.494 Å, b = 7.035 Å, c = 18.833 Å
α = 90.00°, β = 90.00°, γ = 90.00°
Space group Immm (No. 71)
Asymmetric unit:
Sm (0.000, 0.000, 0.000) x2
Tm (0.000, 0.000, 0.500) x2
Tm (0.000, 0.500, 0.277) x4
Tl (0.000, 0.282, 0.128) x8

---

Version ii
VASP calculation (PBE) on crystalline SmTm3Tl4 at its relaxed geometry.

Values from the calculation:
* theoretical density: 11.29 g/cm3
* N(E_F): 12.8 states/eV/cell

a = 10.757 Å, b = 7.499 Å, c = 5.376 Å
α = 90.00°, β = 90.00°, γ = 90.00°
Space group Pmma (No. 51)
Asymmetric unit:
Sm (0.000, 0.000, 0.000) x2
Tm (0.000, 0.500, 0.000) x2
Tm (0.250, 0.000, 0.498) x2
Tm (0.250, 0.500, 0.497) x2
Tl (0.000, 0.256, 0.500) x4
Tl (0.250, 0.256, 0.997) x4

---

Name the least stable of them. version i.

---

Version i
VASP calculation (PBE) on crystalline Sm2TmTl2 at its relaxed geometry.

Values from the calculation:
* theoretical density: 9.66 g/cm3
* N(E_F): 12.2 states/eV/cell

a = 4.843 Å, b = 6.876 Å, c = 9.066 Å
α = 90.00°, β = 90.00°, γ = 90.00°
Space group Immm (No. 71)
Asymmetric unit:
Sm (0.000, 0.000, 0.194) x4
Tm (0.000, 0.500, 0.000) x2
Tl (0.000, 0.279, 0.500) x4

---

Version ii
VASP calculation (PBE) on crystalline Sm2TmTl2 at its relaxed geometry.

Values from the calculation:
* theoretical density: 9.70 g/cm3
* N(E_F): 12.4 states/eV/cell

a = 8.160 Å, b = 8.160 Å, c = 4.519 Å
α = 90.00°, β = 90.00°, γ = 90.00°
Space group P4/mbm (No. 127)
Asymmetric unit:
Sm (0.172, 0.328, 0.000) x4
Tm (0.000, 0.000, 0.500) x2
Tl (0.131, 0.631, 0.500) x4

---

Name the least stable of them. version i.

---

Version i
VASP calculation (PBE) on crystalline Sm3Tm2Tl at its relaxed geometry.

Values from the calculation:
* theoretical density: 8.86 g/cm3
* N(E_F): 22.9 states/eV/cell

a = 17.233 Å, b = 6.802 Å, c = 6.440 Å
α = 90.00°, β = 99.29°, γ = 90.00°
Space group C2/c (No. 15)
Asymmetric unit:
Sm (0.000, 0.226, 0.250) x4
Sm (0.169, 0.118, 0.041) x8
Tm (0.163, 0.391, 0.570) x8
Tl (0.000, 0.285, 0.750) x4

---

Version ii
VASP calculation (PBE) on crystalline Sm3Tm2Tl at its relaxed geometry.

Values from the calculation:
* theoretical density: 8.74 g/cm3
* N(E_F): 16.2 states/eV/cell

a = 5.498 Å, b = 18.128 Å, c = 3.788 Å
α = 90.00°, β = 90.00°, γ = 90.00°
Space group Cmmm (No. 65)
Asymmetric unit:
Sm (0.000, 0.000, 0.000) x2
Sm (0.000, 0.354, 0.000) x4
Tm (0.000, 0.188, 0.500) x4
Tl (0.000, 0.500, 0.500) x2

---

Name the least stable of them. version i.

---

Version i
VASP calculation (PBE) on crystalline SmTm5Tl6 at its relaxed geometry.

Values from the calculation:
* theoretical density: 10.70 g/cm3
* N(E_F): 20.9 states/eV/cell

a = 9.867 Å, b = 11.171 Å, c = 6.412 Å
α = 90.00°, β = 102.84°, γ = 90.00°
Space group C2/m (No. 12)
Asymmetric unit:
Sm (0.000, 0.000, 0.000) x2
Tm (0.000, 0.167, 0.500) x4
Tm (0.000, 0.336, 0.000) x4
Tm (0.000, 0.500, 0.500) x2
Tl (0.248, 0.330, 0.746) x8
Tl (0.249, 0.500, 0.259) x4

---

Version ii
VASP calculation (PBE) on crystalline SmTm5Tl6 at its relaxed geometry.

Values from the calculation:
* theoretical density: 11.44 g/cm3
* N(E_F): 19.2 states/eV/cell

a = 9.211 Å, b = 16.057 Å, c = 5.345 Å
α = 90.00°, β = 125.33°, γ = 90.00°
Space group C2/m (No. 12)
Asymmetric unit:
Sm (0.000, 0.000, 0.000) x2
Tm (0.000, 0.164, 0.500) x4
Tm (0.000, 0.333, 0.000) x4
Tm (0.000, 0.500, 0.500) x2
Tl (0.243, 0.500, 0.242) x4
Tl (0.246, 0.331, 0.746) x8

---

Name the least stable of them. version i.

---

Version i
VASP calculation (PBE) on crystalline SmYTmTl at its relaxed geometry.

Values from the calculation:
* theoretical density: 8.69 g/cm3
* N(E_F): 21.2 states/eV/cell

a = 7.764 Å, b = 7.764 Å, c = 7.764 Å
α = 90.00°, β = 90.00°, γ = 90.00°
Space group F-43m (No. 216)
Asymmetric unit:
Sm (0.000, 0.000, 0.000) x4
Y (0.000, 0.000, 0.500) x4
Tm (0.250, 0.250, 0.750) x4
Tl (0.250, 0.250, 0.250) x4

---

Version ii
VASP calculation (PBE) on crystalline SmYTmTl at its relaxed geometry.

Values from the calculation:
* theoretical density: 8.80 g/cm3
* N(E_F): 4.9 states/eV/cell

a = 4.830 Å, b = 4.875 Å, c = 4.906 Å
α = 90.00°, β = 90.00°, γ = 90.00°
Space group Pmmm (No. 47)
Asymmetric unit:
Sm (0.000, 0.000, 0.000) x1
Y (0.500, 0.000, 0.500) x1
Tm (0.500, 0.500, 0.000) x1
Tl (0.000, 0.500, 0.500) x1

---

Name the least stable of them. version i.

---

Version i
VASP calculation (PBE) on crystalline SmY2Tl2 at its relaxed geometry.

Values from the calculation:
* theoretical density: 7.68 g/cm3
* N(E_F): 6.7 states/eV/cell

a = 5.3008 Å, b = 5.3008 Å, c = 6.5440 Å
α = 90.00°, β = 90.00°, γ = 120.00°
Space group P-3m1 (No. 164)
Asymmetric unit:
Sm (0.0000, 0.0000, 0.0000) x1
Y (0.3333, 0.6667, 0.6684) x2
Tl (0.3333, 0.6667, 0.1920) x2

---

Version ii
VASP calculation (PBE) on crystalline SmY2Tl2 at its relaxed geometry.

Values from the calculation:
* theoretical density: 8.40 g/cm3
* N(E_F): 11.1 states/eV/cell

a = 3.812 Å, b = 5.435 Å, c = 14.189 Å
α = 90.00°, β = 97.74°, γ = 90.00°
Space group P2_1/m (No. 11)
Asymmetric unit:
Sm (0.147, 0.250, 0.296) x2
Y (0.050, 0.750, 0.100) x2
Y (0.237, 0.750, 0.475) x2
Tl (0.355, 0.250, 0.710) x2
Tl (0.452, 0.750, 0.906) x2

---

Name the least stable of them. version i.

---

Version i
VASP calculation (PBE) on crystalline Sm3Y2Tl2 at its relaxed geometry.

Values from the calculation:
* theoretical density: 8.11 g/cm3
* N(E_F): 15.5 states/eV/cell

a = 4.992 Å, b = 24.022 Å, c = 3.544 Å
α = 90.00°, β = 90.00°, γ = 90.00°
Space group Cmmm (No. 65)
Asymmetric unit:
Sm (0.000, 0.000, 0.000) x2
Sm (0.000, 0.143, 0.000) x4
Y (0.000, 0.287, 0.500) x4
Tl (0.000, 0.427, 0.500) x4

---

Version ii
VASP calculation (PBE) on crystalline Sm3Y2Tl2 at its relaxed geometry.

Values from the calculation:
* theoretical density: 8.14 g/cm3
* N(E_F): 12.8 states/eV/cell

a = 9.487 Å, b = 5.485 Å, c = 8.733 Å
α = 90.00°, β = 111.34°, γ = 90.00°
Space group C2/m (No. 12)
Asymmetric unit:
Sm (0.000, 0.000, 0.000) x2
Sm (0.156, 0.000, 0.468) x4
Y (0.075, 0.500, 0.725) x4
Tl (0.215, 0.500, 0.145) x4

---

Name the least stable of them. version i.

---

Version i
VASP calculation (PBE) on crystalline Sm5YTl2 at its relaxed geometry.

Values from the calculation:
* theoretical density: 7.76 g/cm3
* N(E_F): 28.5 states/eV/cell

a = 5.5178 Å, b = 5.5178 Å, c = 20.2867 Å
α = 90.00°, β = 90.00°, γ = 120.00°
Space group P6_3/mmc (No. 194)
Asymmetric unit:
Sm (0.0000, 0.0000, 0.1622) x4
Sm (0.3333, 0.6667, 0.0615) x4
Sm (0.3333, 0.6667, 0.2500) x2
Y (0.3333, 0.6667, 0.7500) x2
Tl (0.3333, 0.6667, 0.5961) x4

---

Version ii
VASP calculation (PBE) on crystalline Sm5YTl2 at its relaxed geometry.

Values from the calculation:
* theoretical density: 8.28 g/cm3
* N(E_F): 22.0 states/eV/cell

a = 3.676 Å, b = 10.896 Å, c = 12.516 Å
α = 90.00°, β = 90.00°, γ = 90.00°
Space group Immm (No. 71)
Asymmetric unit:
Sm (0.000, 0.000, 0.000) x2
Sm (0.000, 0.278, 0.363) x8
Y (0.000, 0.500, 0.000) x2
Tl (0.000, 0.000, 0.273) x4

---

Name the least stable of them. version i.

---

Version i
VASP calculation (PBE) on crystalline Sm3YTl3 at its relaxed geometry.

Values from the calculation:
* theoretical density: 9.00 g/cm3
* N(E_F): 35.0 states/eV/cell

a = 9.476 Å, b = 9.476 Å, c = 9.476 Å
α = 90.00°, β = 90.00°, γ = 90.00°
Space group P2_13 (No. 198)
Asymmetric unit:
Sm (0.071, 0.429, 0.571) x4
Sm (0.175, 0.825, 0.325) x4
Sm (0.176, 0.176, 0.176) x4
Y (0.073, 0.573, 0.927) x4
Tl (0.000, 0.252, 0.870) x12

---

Version ii
VASP calculation (PBE) on crystalline Sm3YTl3 at its relaxed geometry.

Values from the calculation:
* theoretical density: 9.12 g/cm3
* N(E_F): 11.3 states/eV/cell

a = 9.5787 Å, b = 9.5787 Å, c = 5.2845 Å
α = 90.00°, β = 90.00°, γ = 120.00°
Space group P6_3/m (No. 176)
Asymmetric unit:
Sm (0.0005, 0.2382, 0.2500) x6
Y (0.3333, 0.6667, 0.2500) x2
Tl (0.0710, 0.4515, 0.7500) x6

---

Name the least stable of them. version ii.